The following is a DFT calculation (PBE) of an optimized crystal structure of Zr3Pd8Au2. Values from VASP.

Results
- spin magnetization (μB per cell) = 0.0
- raw total energy (eV/atom) = -6.023
- ΔH_f (0 K) (eV per atom) = -0.3501

The structure in Quantum ESPRESSO input format:
```
&SYSTEM
  ibrav = 0, nat = 13, ntyp = 3
/
ATOMIC_SPECIES
Au 196.97 Au.upf
Zr 91.22 Zr.upf
Pd 106.42 Pd.upf
CELL_PARAMETERS angstrom
-4.3226 -2.9831 0.0274
0.4102 -5.2135 0.4860
-1.8494 -1.8511 10.0820
ATOMIC_POSITIONS angstrom
Au -3.1057 -4.6607 9.3832
Zr -1.5417 -2.3484 4.4888
Pd -4.3627 -7.4690 8.6977
Pd -1.2743 -5.0544 3.6137
Pd -3.4367 -6.5467 3.6274
Zr -4.2202 -7.6994 6.1066
Pd -3.6419 -3.9387 3.3842
Au -2.6561 -5.3871 1.2122
Zr 0.0000 0.0000 0.0000
Pd -4.4875 -4.9933 6.9817
Pd -1.3991 -2.5787 1.8977
Pd -2.3252 -3.5010 6.9680
Pd -2.1200 -6.1090 7.2111
```


The following is a DFT calculation (PBE) of an optimized crystal structure of ZrPd12Au6. Values from VASP.

Results
- spin magnetization (μB per cell) = 0.0
- raw total energy (eV/atom) = -4.855
- ΔH_f (0 K) (eV per atom) = -0.0901

The structure in Quantum ESPRESSO input format:
```
&SYSTEM
  ibrav = 0, nat = 19, ntyp = 3
/
ATOMIC_SPECIES
Pd 106.42 Pd.upf
Au 196.97 Au.upf
Zr 91.22 Zr.upf
CELL_PARAMETERS angstrom
6.8546 0.3999 0.4791
-0.6439 6.8360 0.4791
-0.6439 -0.7501 6.8116
ATOMIC_POSITIONS angstrom
Pd 3.3620 3.2799 1.8768
Pd 2.7323 1.1639 4.0943
Pd 0.7362 3.5142 3.5625
Pd 2.8345 5.3218 3.6755
Au 0.1780 1.3910 5.1614
Au 5.3888 5.0947 2.6084
Au 4.2189 1.4766 6.4668
Pd 4.8225 6.4183 5.1600
Pd 3.1535 5.3626 7.2370
Zr 0.0000 0.0000 0.0000
Pd -0.0462 2.4345 1.2003
Pd 0.7443 0.0675 2.6098
Pd 2.2049 3.2058 5.8930
Pd 4.8306 2.9715 4.2073
Pd 5.6130 4.0513 6.5695
Au 4.7469 0.9082 2.2910
Au 1.3480 5.0092 1.3029
Au 0.8199 5.5776 5.4788
Pd 2.4133 1.1232 0.5327
```


The following is a DFT calculation (PBE) of an optimized crystal structure of Zr2PdAu6. Values from VASP.

Results
- spin magnetization (μB per cell) = 0.0
- raw total energy (eV/atom) = -5.074
- ΔH_f (0 K) (eV per atom) = -0.4121

The structure in Quantum ESPRESSO input format:
```
&SYSTEM
  ibrav = 0, nat = 9, ntyp = 3
/
ATOMIC_SPECIES
Au 196.97 Au.upf
Zr 91.22 Zr.upf
Pd 106.42 Pd.upf
CELL_PARAMETERS angstrom
-0.8966 2.2325 -3.0696
-3.1530 -5.4627 -3.0521
-3.6441 2.4527 5.3258
ATOMIC_POSITIONS angstrom
Au -4.8988 -1.8322 -2.3793
Au -2.8852 -1.5773 -0.3045
Au -4.8084 0.7998 -0.4914
Zr -3.0859 -4.0547 -2.0477
Au -1.8399 0.9459 -1.2523
Pd -2.0248 -1.6151 -3.0609
Zr -4.6077 3.2772 1.2518
Au -2.7949 1.0547 1.5834
Au -5.8537 -1.7234 0.4564
```


The following is a DFT calculation (PBE) of an optimized crystal structure of ZrPdAu2. Values from VASP.

Results
- spin magnetization (μB per cell) = 0.0
- raw total energy (eV/atom) = -5.685
- ΔH_f (0 K) (eV per atom) = -0.6110

The structure in Quantum ESPRESSO input format:
```
&SYSTEM
  ibrav = 0, nat = 8, ntyp = 3
/
ATOMIC_SPECIES
Au 196.97 Au.upf
Zr 91.22 Zr.upf
Pd 106.42 Pd.upf
CELL_PARAMETERS angstrom
-3.9347 -2.8554 -0.1061
3.3824 -4.6852 0.6545
-0.4249 0.3980 5.0449
ATOMIC_POSITIONS angstrom
Au 2.1676 -3.1625 4.7277
Au 0.5138 -4.8949 1.2458
Zr -0.5515 -3.5124 3.5437
Au -1.2018 -2.5185 0.9139
Zr -0.1495 0.1401 1.7754
Pd -2.2449 -1.1677 3.2425
Pd 1.5439 -2.2046 2.0765
Au 0.5008 -0.8538 4.4052
```


The following is a DFT calculation (PBE) of an optimized crystal structure of Zr6PdAu5. Values from VASP.

Results
- spin magnetization (μB per cell) = 0.0
- raw total energy (eV/atom) = -6.570
- ΔH_f (0 K) (eV per atom) = -0.4976

The structure in Quantum ESPRESSO input format:
```
&SYSTEM
  ibrav = 0, nat = 12, ntyp = 3
/
ATOMIC_SPECIES
Zr 91.22 Zr.upf
Au 196.97 Au.upf
Pd 106.42 Pd.upf
CELL_PARAMETERS angstrom
-2.8118 -1.2693 -4.0289
-0.5309 -6.0551 2.2771
-7.2371 -1.6145 3.2728
ATOMIC_POSITIONS angstrom
Zr -5.7094 -3.8735 2.2168
Zr -4.8703 -5.0654 -0.6958
Zr -5.9748 -6.9203 3.3626
Au -7.0336 -3.0339 -0.4500
Au -7.2736 -6.0638 0.6813
Au -3.3062 -2.8751 0.8397
Pd 0.0000 0.0000 0.0000
Zr -1.5388 -2.1373 -1.4488
Zr -9.0410 -6.8016 2.9698
Zr -4.6050 -2.0186 -1.8416
Au -3.5462 -5.9051 1.9711
Au -0.2654 -3.0275 1.1386
```


The following is a DFT calculation (PBE) of an optimized crystal structure of ZrPd2Au3. Values from VASP.

Results
- spin magnetization (μB per cell) = 0.0
- raw total energy (eV/atom) = -5.151
- ΔH_f (0 K) (eV per atom) = -0.3570

The structure in Quantum ESPRESSO input format:
```
&SYSTEM
  ibrav = 0, nat = 12, ntyp = 3
/
ATOMIC_SPECIES
Au 196.97 Au.upf
Pd 106.42 Pd.upf
Zr 91.22 Zr.upf
CELL_PARAMETERS angstrom
4.5048 -1.4600 0.9202
-0.2950 4.7263 0.9202
-2.4027 -1.8642 9.4012
ATOMIC_POSITIONS angstrom
Au 1.2181 1.5359 3.2706
Au 3.4557 2.0303 1.3820
Pd -0.6987 2.0079 9.3554
Au 0.5890 -0.1338 7.9712
Pd -1.1656 1.6456 6.5870
Au -1.6486 -0.6282 9.8598
Au 1.6238 1.9108 6.0826
Zr -0.5434 3.8062 3.2706
Pd 2.5058 -0.6059 1.8863
Au 0.1833 -0.5087 5.1592
Zr 2.3505 -2.4041 7.9712
Pd 2.9727 -0.2435 4.6548
```


The following is a DFT calculation (PBE) of an optimized crystal structure of ZrPd6Au2. Values from VASP.

Results
- spin magnetization (μB per cell) = 0.0
- raw total energy (eV/atom) = -5.559
- offset from the most stable computed form (kJ/mol of atoms) = 0.0
- ΔH_f (0 K) (eV per atom) = -0.4194

The structure in Quantum ESPRESSO input format:
```
&SYSTEM
  ibrav = 0, nat = 18, ntyp = 3
/
ATOMIC_SPECIES
Au 196.97 Au.upf
Pd 106.42 Pd.upf
Zr 91.22 Zr.upf
CELL_PARAMETERS angstrom
-1.3915 -2.4397 3.0354
-0.1879 -6.5504 -5.3511
7.9648 -1.9385 2.0932
ATOMIC_POSITIONS angstrom
Au 1.8768 -2.9860 1.2774
Au 4.5085 -7.9426 -1.4999
Pd 7.2000 -4.2527 2.6997
Au 5.1344 -6.1860 3.0159
Pd 4.5351 -5.7608 0.2659
Pd 1.8502 -5.1679 -0.4884
Pd -0.8147 -6.6760 -2.9222
Pd 6.4361 -8.1323 -3.5859
Au 1.2509 -4.7426 -3.2384
Pd 2.4912 -5.5717 2.2980
Pd 1.8482 -7.3739 -2.2625
Pd 4.5371 -3.5547 2.0400
Pd 1.2170 -2.5330 -1.4780
Pd 1.3407 -0.3566 0.3280
Zr 3.9824 -0.9693 1.0466
Zr -0.7897 -4.4950 -1.1579
Pd 6.5598 -5.9559 -1.7799
Pd 3.8941 -5.3569 -2.5205
```


The following is a DFT calculation (PBE) of an optimized crystal structure of ZrPd4Au3. Values from VASP.

Results
- spin magnetization (μB per cell) = 0.0
- raw total energy (eV/atom) = -5.320
- ΔH_f (0 K) (eV per atom) = -0.4257

The structure in Quantum ESPRESSO input format:
```
&SYSTEM
  ibrav = 0, nat = 8, ntyp = 3
/
ATOMIC_SPECIES
Au 196.97 Au.upf
Zr 91.22 Zr.upf
Pd 106.42 Pd.upf
CELL_PARAMETERS angstrom
-3.6203 1.9032 -0.6177
-1.0746 -0.7721 3.9194
5.5885 6.3242 0.5818
ATOMIC_POSITIONS angstrom
Au -0.5373 -0.3861 1.9597
Zr -1.8102 0.9516 -0.3088
Au -0.1671 4.4446 0.8237
Au 1.0607 3.0107 3.0598
Pd 0.7904 1.6809 0.5464
Pd -1.5570 2.2465 2.1969
Pd 2.4505 5.2088 1.6866
Pd 0.1031 5.7744 3.3371
```


The following is a DFT calculation (PBE) of an optimized crystal structure of ZrPd2Au. Values from VASP.

Results
- spin magnetization (μB per cell) = 0.0
- raw total energy (eV/atom) = -6.135
- offset from the most stable computed form (kJ/mol of atoms) = 12.0
- ΔH_f (0 K) (eV per atom) = -0.5819

The structure in Quantum ESPRESSO input format:
```
&SYSTEM
  ibrav = 0, nat = 4, ntyp = 3
/
ATOMIC_SPECIES
Pd 106.42 Pd.upf
Au 196.97 Au.upf
Zr 91.22 Zr.upf
CELL_PARAMETERS angstrom
0.0000 3.2700 3.2700
3.2700 0.0000 3.2700
3.2700 3.2700 0.0000
ATOMIC_POSITIONS angstrom
Pd 4.9050 4.9050 4.9050
Au 3.2700 3.2700 3.2700
Zr 0.0000 0.0000 0.0000
Pd 1.6350 1.6350 1.6350
```


The following is a DFT calculation (PBE) of an optimized crystal structure of Zr3PdAu. Values from VASP.

Results
- spin magnetization (μB per cell) = 0.0
- raw total energy (eV/atom) = -6.404
- offset from the most stable computed form (kJ/mol of atoms) = 67.3
- ΔH_f (0 K) (eV per atom) = 0.4186

The structure in Quantum ESPRESSO input format:
```
&SYSTEM
  ibrav = 0, nat = 5, ntyp = 3
/
ATOMIC_SPECIES
Pd 106.42 Pd.upf
Zr 91.22 Zr.upf
Au 196.97 Au.upf
CELL_PARAMETERS angstrom
5.0266 0.0000 0.0000
0.0000 5.0266 0.0000
0.0000 0.0000 5.0266
ATOMIC_POSITIONS angstrom
Pd 0.0000 0.0000 0.0000
Zr 0.0000 2.5133 0.0000
Au 2.5133 2.5133 2.5133
Zr 2.5133 0.0000 0.0000
Zr 0.0000 0.0000 2.5133
```